Below is a relaxed structure of Rb2AcPaSe4, with properties calculated at the PBE level.

Final energy ... -5.192 eV per atom
Uncorrected formation energy ... -1.51 eV per atom
Magnetic moment ... 1.976 μB per formula unit
Calculated volume ... 274.0 Å³/f.u.

Lattice parameters (Å, degrees): 7.702 4.398 8.474 90.00 107.35 90.00
Space group P2/m (No. 10)
Asymmetric unit:
Rb1 0.000 0.000 0.000 (multiplicity 1)
Rb2 0.500 0.500 0.000 (multiplicity 1)
Ac1 0.000 0.500 0.500 (multiplicity 1)
Pa1 0.500 0.000 0.500 (multiplicity 1)
Se1 0.255 0.000 0.708 (multiplicity 2)
Se2 0.282 0.500 0.299 (multiplicity 2)